Entry from Alexandria via LeMat-Bulk: crystalline Rb2YSb at its relaxed geometry (PBE).

Output
VASP energy	-3.157	eV/atom
SG	I-42d, No. 122
crystal system	tetragonal
spin magnetization	0.00	μB per formula unit

Cell lengths 9.998, 9.998, 9.998 Å; angles 94.95, 94.95, 145.84 degrees
Atoms (fractional coordinates):
Rb  0.375  0.027  0.152
Rb  0.777  0.625  0.652
Rb  0.875  0.223  0.848
Rb  0.973  0.125  0.348
Y  0.250  0.750  0.500
Y  0.500  0.500  0.000
Sb  0.000  0.000  0.000
Sb  0.750  0.250  0.500